# VAgI2O (PBE+U, relaxed)
# Magnetization, μB per formula unit: 1.93
# Calculated total energy, eV per cell: -20.71
# Distance to the lowest polymorph of the same formula, eV per atom: 0.000
# Space group: P4/mmm, No. 123
data_VAgI2O
_space_group_name_H-M_alt 'P 1'
_space_group_IT_number 1
_cell_length_a 5.746
_cell_length_b 5.746
_cell_length_c 3.723
_cell_angle_alpha 90.00
_cell_angle_beta 90.00
_cell_angle_gamma 90.00
loop_
_space_group_symop_operation_xyz
'x,y,z'
loop_
_atom_site_label
_atom_site_type_symbol
_atom_site_fract_x
_atom_site_fract_y
_atom_site_fract_z
_atom_site_occupancy
V1 V 0.000 0.000 0.000 1
Ag1 Ag 0.500 0.500 0.500 1
I1 I 0.000 0.500 0.000 1
I2 I 0.500 0.000 0.000 1
O1 O 0.000 0.000 0.500 1